1.
A relaxed structure of TaBeCu, computed with PBE-GGA.

Summary:
Polymorph energy (0 for the lowest one) in eV per atom: 0.138
Energy of formation in meV/atom: 44

a = 3.626 Å, b = 3.626 Å, c = 5.856 Å
α = 90.00°, β = 90.00°, γ = 90.00°
Fractional positions:
1 Ta 0.500 0.000 0.851
2 Be 0.000 0.000 0.500
3 Be 0.500 0.500 0.500
4 Cu 0.000 0.500 0.708
5 Cu 0.500 0.000 0.292
6 Ta 0.000 0.500 0.149



2.
A relaxed structure of Cs2RbGeCl5, computed with PBE-GGA.

Summary:
Raw formation energy in eV per atom: -1.5936

a = 5.248 Å, b = 9.718 Å, c = 13.705 Å
α = 90.00°, β = 90.00°, γ = 105.67°
Fractional positions:
1 Cl 0.288 0.576 0.679
2 Rb 0.799 0.597 0.532
3 Ge 0.475 0.950 0.445
4 Cl 0.974 0.948 0.464
5 Cl 0.516 0.032 0.282
6 Cl 0.623 0.245 0.510
7 Cl 0.484 0.968 0.782
8 Cs 0.894 0.787 0.193
9 Cl 0.712 0.424 0.179
10 Cl 0.026 0.052 0.964
11 Ge 0.525 0.050 0.945
12 Cl 0.377 0.755 0.010
13 Cs 0.106 0.213 0.693
14 Cl 0.344 0.688 0.383
15 Cl 0.656 0.312 0.883
16 Cs 0.150 0.299 0.335
17 Cs 0.850 0.701 0.835
18 Rb 0.201 0.403 0.032



3.
A relaxed structure of YTi3Mo, computed with PBE-GGA.

Summary:
Polymorph energy (0 for the lowest one) in eV per atom: 1.334
Energy of formation in meV/atom: 1783

a = 4.678 Å, b = 4.678 Å, c = 4.678 Å
α = 90.00°, β = 90.00°, γ = 90.00°
Last column: magnetic moment on the atom in μB.
Fractional positions:
1 Ti 0.500 0.000 0.000  0.26
2 Ti 0.000 0.500 0.000  0.19
3 Ti 0.000 0.000 0.500  0.12
4 Mo 0.500 0.500 0.500  -0.96
5 Y 0.000 0.000 0.000  0.05



4.
A relaxed structure of K2Bi5Au3, computed with PBE-GGA.

Summary:
Energy of formation in meV/atom: -203

a = 7.466 Å, b = 10.001 Å, c = 10.001 Å
α = 72.46°, β = 68.08°, γ = 68.08°
Fractional positions:
1 Bi 0.990 0.760 0.760
2 Bi 0.250 0.500 0.500
3 Bi 0.399 0.247 0.955
4 Bi 0.750 0.500 0.500
5 Au 0.250 0.000 0.000
6 Au 0.629 0.483 0.259
7 Au 0.129 0.259 0.483
8 K 0.634 0.120 0.611
9 Bi 0.101 0.045 0.753
10 Bi 0.510 0.240 0.240
11 Au 0.750 0.000 0.000
12 K 0.134 0.611 0.120
13 Bi 0.010 0.240 0.240
14 Bi 0.490 0.760 0.760
15 Au 0.371 0.517 0.741
16 K 0.866 0.389 0.880
17 Au 0.871 0.741 0.517
18 K 0.366 0.880 0.389
19 Bi 0.601 0.753 0.045
20 Bi 0.899 0.955 0.247



5.
A relaxed structure of Nb2InN, computed with PBE-GGA.

Summary:
Raw formation energy in eV per atom: -0.1567

a = 6.535 Å, b = 6.535 Å, c = 5.670 Å
α = 54.81°, β = 54.81°, γ = 90.00°
Fractional positions:
1 Nb 0.875 0.763 0.750
2 Nb 0.513 0.125 0.250
3 N 0.250 0.750 0.500
4 In 0.750 0.250 0.500
5 In 0.000 0.000 0.000
6 Nb 0.375 0.487 0.750
7 Nb 0.237 0.625 0.250
8 N 0.500 0.500 0.000



6.
A relaxed structure of Y4HoPd5, computed with PBE-GGA.

Summary:
Energy of formation in meV/atom: -874

a = 3.481 Å, b = 3.481 Å, c = 17.899 Å
α = 90.00°, β = 90.00°, γ = 90.00°
Fractional positions:
1 Ho 0.000 0.000 0.000
2 Pd 0.500 0.500 0.500
3 Pd 0.500 0.500 0.097
4 Y 0.000 0.000 0.600
5 Y 0.000 0.000 0.199
6 Y 0.000 0.000 0.801
7 Pd 0.500 0.500 0.903
8 Pd 0.500 0.500 0.299
9 Pd 0.500 0.500 0.701
10 Y 0.000 0.000 0.400



7.
A relaxed structure of LiOsN2O, computed with PBE-GGA.

Summary:
Raw formation energy in eV per atom: 0.0043

a = 3.816 Å, b = 3.816 Å, c = 3.931 Å
α = 90.00°, β = 90.00°, γ = 90.00°
Fractional positions:
1 N 0.000 0.500 0.000
2 Os 0.000 0.000 0.000
3 Li 0.500 0.500 0.500
4 O 0.000 0.000 0.500
5 N 0.500 0.000 0.000



8.
A relaxed structure of CaAcNiAu, computed with PBE-GGA.

Summary:
Polymorph energy (0 for the lowest one) in eV per atom: 0.109
Energy of formation in meV/atom: -403

a = 5.235 Å, b = 5.235 Å, c = 5.235 Å
α = 60.00°, β = 60.00°, γ = 60.00°
Fractional positions:
1 Au 0.750 0.750 0.750
2 Ni 0.250 0.250 0.250
3 Ac 0.000 0.000 0.000
4 Ca 0.500 0.500 0.500



9.
A relaxed structure of RbCaAg4, computed with PBE-GGA.

Summary:
Energy of formation in meV/atom: 4

a = 5.947 Å, b = 5.947 Å, c = 5.947 Å
α = 60.00°, β = 60.00°, γ = 60.00°
Fractional positions:
1 Ca 0.250 0.250 0.250
2 Ag 0.624 0.624 0.624
3 Ag 0.128 0.624 0.624
4 Ag 0.624 0.624 0.128
5 Ag 0.624 0.128 0.624
6 Rb 0.000 0.000 0.000



10.
A relaxed structure of Lu2CoNi, computed with PBE-GGA.

Summary:
Polymorph energy (0 for the lowest one) in eV per atom: 0.731
Energy of formation in meV/atom: 349

a = 3.296 Å, b = 3.296 Å, c = 8.820 Å
α = 79.23°, β = 79.23°, γ = 60.00°
Fractional positions:
1 Ni 0.000 0.000 0.000
2 Lu 0.904 0.904 0.289
3 Lu 0.096 0.096 0.711
4 Co 0.500 0.500 0.500



11.
A relaxed structure of TlSb3P, computed with PBE-GGA.

Summary:
Polymorph energy (0 for the lowest one) in eV per atom: 0.947
Raw formation energy in eV per atom: 1.3819

a = 5.619 Å, b = 5.619 Å, c = 5.619 Å
α = 90.00°, β = 90.00°, γ = 90.00°
Fractional positions:
1 Sb 0.500 0.000 0.000
2 Sb 0.000 0.500 0.000
3 P 0.500 0.500 0.500
4 Sb 0.000 0.000 0.500
5 Tl 0.000 0.000 0.000



12.
A relaxed structure of Cd3Ag4Sn, computed with PBE-GGA.

Summary:
Polymorph energy (0 for the lowest one) in eV per atom: 0.000
Energy of formation in meV/atom: -20

a = 5.153 Å, b = 6.365 Å, c = 9.774 Å
α = 90.00°, β = 90.00°, γ = 90.00°
Fractional positions:
1 Cd 0.366 0.000 0.250
2 Cd 0.634 0.000 0.750
3 Cd 0.000 0.000 0.000
4 Ag 0.857 0.758 0.250
5 Ag 0.143 0.242 0.750
6 Ag 0.500 0.244 0.500
7 Ag 0.500 0.756 0.500
8 Ag 0.143 0.758 0.750
9 Cd 0.380 0.500 0.250
10 Sn 0.000 0.500 0.500
11 Cd 0.620 0.500 0.750
12 Ag 0.500 0.244 0.000
13 Cd 0.000 0.000 0.500
14 Ag 0.500 0.756 0.000
15 Ag 0.857 0.242 0.250
16 Sn 0.000 0.500 0.000



13.
A relaxed structure of ScInIO6, computed with PBE-GGA.

Summary:
Raw formation energy in eV per atom: -1.4248

a = 5.380 Å, b = 5.380 Å, c = 9.297 Å
α = 90.00°, β = 90.00°, γ = 120.00°
Fractional positions:
1 O 0.643 0.984 0.868
2 I 0.667 0.333 0.250
3 O 0.659 0.016 0.368
4 Sc 0.333 0.667 0.250
5 O 0.659 0.643 0.132
6 O 0.984 0.643 0.368
7 O 0.016 0.659 0.868
8 O 0.341 0.984 0.632
9 Sc 0.667 0.333 0.750
10 O 0.984 0.341 0.132
11 O 0.357 0.341 0.368
12 In 0.000 0.000 0.500
13 O 0.341 0.357 0.868
14 O 0.643 0.659 0.632
15 I 0.333 0.667 0.750
16 O 0.357 0.016 0.132
17 O 0.016 0.357 0.632
18 In 0.000 0.000 0.000



14.
A relaxed structure of PmErCu3, computed with PBE-GGA.

Summary:
Polymorph energy (0 for the lowest one) in eV per atom: 0.000
Energy of formation in meV/atom: -238

a = 3.704 Å, b = 4.301 Å, c = 12.822 Å
α = 90.00°, β = 98.31°, γ = 90.00°
Fractional positions:
1 Cu 0.476 0.250 0.952
2 Pm 0.928 0.750 0.855
3 Er 0.795 0.250 0.590
4 Cu 0.325 0.750 0.650
5 Cu 0.675 0.250 0.350
6 Cu 0.621 0.750 0.241
7 Pm 0.072 0.250 0.145
8 Cu 0.379 0.250 0.759
9 Er 0.205 0.750 0.410
10 Cu 0.524 0.750 0.048



15.
A relaxed structure of Er6Te5C, computed with PBE-GGA.

Summary:
Raw formation energy in eV per atom: -1.1511

a = 7.219 Å, b = 7.385 Å, c = 7.340 Å
α = 59.79°, β = 80.39°, γ = 70.61°
Fractional positions:
1 Te 0.500 0.500 0.000
2 Er 0.791 0.068 0.278
3 Er 0.776 0.799 0.000
4 Te 0.000 0.336 0.327
5 Te 0.500 0.819 0.362
6 Te 0.500 0.181 0.638
7 C 0.000 0.000 0.000
8 Er 0.224 0.201 0.000
9 Te 0.000 0.664 0.673
10 Er 0.209 0.654 0.278
11 Er 0.209 0.932 0.722
12 Er 0.791 0.346 0.722



16.
A relaxed structure of Sc2AgRh, computed with PBE-GGA.

Summary:
Energy of formation in meV/atom: -459

a = 5.552 Å, b = 5.552 Å, c = 5.552 Å
α = 142.77°, β = 133.16°, γ = 61.30°
Fractional positions:
1 Sc 0.023 0.023 0.000
2 Rh 0.238 0.738 0.500
3 Sc 0.751 0.251 0.500
4 Ag 0.488 0.488 0.000



17.
A relaxed structure of InBSb2, computed with PBE-GGA.

Summary:
Polymorph energy (0 for the lowest one) in eV per atom: 0.760
Raw formation energy in eV per atom: 1.0145

a = 5.042 Å, b = 5.042 Å, c = 5.042 Å
α = 60.00°, β = 60.00°, γ = 60.00°
Fractional positions:
1 Sb 0.250 0.250 0.250
2 Sb 0.750 0.750 0.750
3 B 0.000 0.000 0.000
4 In 0.500 0.500 0.500



18.
A relaxed structure of NaAcDyPb, computed with PBE-GGA.

Summary:
Energy of formation in meV/atom: -138

a = 5.671 Å, b = 5.671 Å, c = 5.671 Å
α = 60.00°, β = 60.00°, γ = 60.00°
Fractional positions:
1 Na 0.250 0.250 0.250
2 Ac 0.000 0.000 0.000
3 Dy 0.500 0.500 0.500
4 Pb 0.750 0.750 0.750



19.
A relaxed structure of CePm2SeO4, computed with PBE-GGA.

Summary:
Raw formation energy in eV per atom: -3.1698

a = 3.906 Å, b = 3.906 Å, c = 9.014 Å
α = 90.00°, β = 90.00°, γ = 90.00°
Fractional positions:
1 O 0.500 0.000 0.849
2 Pm 0.500 0.500 0.285
3 Se 0.000 0.000 0.500
4 O 0.500 0.000 0.151
5 Ce 0.000 0.000 0.000
6 Pm 0.500 0.500 0.715
7 O 0.000 0.500 0.151
8 O 0.000 0.500 0.849



20.
A relaxed structure of KTiSb2, computed with PBE-GGA.

Summary:
Polymorph energy (0 for the lowest one) in eV per atom: 0.175
Raw formation energy in eV per atom: -0.1365

a = 6.517 Å, b = 6.517 Å, c = 9.381 Å
α = 69.67°, β = 69.67°, γ = 90.00°
Fractional positions:
1 Sb 0.375 0.140 0.750
2 Ti 0.000 0.000 0.000
3 Sb 0.860 0.125 0.250
4 K 0.250 0.750 0.500
5 Sb 0.890 0.625 0.250
6 Sb 0.875 0.110 0.750
7 K 0.500 0.500 0.000
8 Ti 0.750 0.250 0.500



21.
A relaxed structure of K4Rb3Cd2, computed with PBE-GGA.

Summary:
Energy of formation in meV/atom: -3

a = 5.658 Å, b = 10.045 Å, c = 11.557 Å
α = 63.44°, β = 75.83°, γ = 73.64°
Fractional positions:
1 Rb 0.643 0.087 0.627
2 Rb 0.000 0.000 0.000
3 K 0.884 0.567 0.665
4 Cd 0.770 0.230 0.231
5 K 0.666 0.654 0.015
6 K 0.334 0.346 0.985
7 Cd 0.230 0.770 0.769
8 Rb 0.357 0.913 0.373
9 K 0.116 0.433 0.335



22.
A relaxed structure of ZrZnB2S, computed with PBE-GGA.

Summary:
Raw formation energy in eV per atom: 1.1373

a = 3.971 Å, b = 4.465 Å, c = 3.971 Å
α = 90.00°, β = 90.00°, γ = 90.00°
Fractional positions:
1 Zn 0.000 0.500 0.000
2 Zr 0.500 0.500 0.500
3 S 0.000 0.000 0.000
4 B 0.000 0.000 0.500
5 B 0.500 0.000 0.000



Number 1: total moment 0.0000 μB/atom. Number 2: total moment 0.0000 μB/atom. Number 3: total moment 0.0627 μB/atom. Number 4: total moment 0.0000 μB/atom. Number 5: total moment 0.0000 μB/atom. Number 6: total moment 0.0000 μB/atom. Number 7: total moment 0.0000 μB/atom. Number 8: total moment 0.0000 μB/atom. Number 9: total moment 0.0000 μB/atom. Number 10: total moment 0.0001 μB/atom. Number 11: total moment 0.0000 μB/atom. Number 12: total moment 0.0000 μB/atom. Number 13: total moment 0.0004 μB/atom. Number 14: total moment 0.0000 μB/atom. Number 15: total moment 0.0000 μB/atom. Number 16: total moment 0.0000 μB/atom. Number 17: total moment 0.0000 μB/atom. Number 18: total moment 0.0017 μB/atom. Number 19: total moment 0.0000 μB/atom. Number 20: total moment 0.0000 μB/atom. Number 21: total moment 0.0000 μB/atom. Number 22: total moment 0.0000 μB/atom.